No. 1
# Sc5C | Alexandria | PBEsol | relaxed
# **Crystal system**: orthorhombic
# **Energy of formation from the pure elements**: 0.34 eV/atom
# **ΔE to the lowest computed polymorph**: 2.37 eV/f.u.
# **Total magnetic moment**: 0.000 μB per atom
data_Sc5C
_chemical_formula_sum 'Sc10 C2'
_cell_length_a 4.079
_cell_length_b 3.779
_cell_length_c 15.867
_cell_angle_alpha 90.00
_cell_angle_beta 90.00
_cell_angle_gamma 90.00
_symmetry_space_group_name_H-M 'A m m 2'
_symmetry_Int_Tables_number 38
_symmetry_space_group_name_Hall 'A 2 -2'
loop_
_atom_site_label
_atom_site_type_symbol
_atom_site_fract_x
_atom_site_fract_y
_atom_site_fract_z
_atom_site_occupancy
Sc1 Sc 0.000 0.000 0.000 1
Sc2 Sc 0.000 0.000 0.309 1
Sc3 Sc 0.000 0.000 0.645 1
Sc4 Sc 0.500 0.000 0.153 1
Sc5 Sc 0.500 0.000 0.839 1
C1 C 0.500 0.000 0.574 1

No. 2
# Li3Au | Alexandria | PBEsol | relaxed
# **Crystal system**: tetragonal
# **Energy of formation from the pure elements**: -0.30 eV/atom
# **Total magnetic moment**: 0.000 μB per atom
data_Li3Au
_chemical_formula_sum 'Li3 Au1'
_cell_length_a 3.239
_cell_length_b 3.239
_cell_length_c 6.103
_cell_angle_alpha 90.00
_cell_angle_beta 90.00
_cell_angle_gamma 90.00
_symmetry_space_group_name_H-M 'P 4/m m m'
_symmetry_Int_Tables_number 123
_symmetry_space_group_name_Hall '-P 4 2'
loop_
_atom_site_label
_atom_site_type_symbol
_atom_site_fract_x
_atom_site_fract_y
_atom_site_fract_z
_atom_site_occupancy
Li1 Li 0.000 0.000 0.000 1
Li2 Li 0.500 0.500 0.283 1
Au1 Au 0.000 0.000 0.500 1

No. 3
# Be2FeCu | Alexandria | PBEsol | relaxed
# **Crystal system**: orthorhombic
# **Energy of formation from the pure elements**: 0.08 eV/atom
# **Total magnetic moment**: 0.269 μB per atom
data_Be2FeCu
_chemical_formula_sum 'Be4 Fe2 Cu2'
_cell_length_a 2.599
_cell_length_b 3.972
_cell_length_c 7.323
_cell_angle_alpha 90.00
_cell_angle_beta 90.00
_cell_angle_gamma 90.00
_symmetry_space_group_name_H-M 'I m m m'
_symmetry_Int_Tables_number 71
_symmetry_space_group_name_Hall '-I 2 2'
loop_
_atom_site_label
_atom_site_type_symbol
_atom_site_fract_x
_atom_site_fract_y
_atom_site_fract_z
_atom_site_occupancy
Be1 Be 0.000 0.000 0.247 1
Fe1 Fe 0.000 0.500 0.000 1
Cu1 Cu 0.000 0.500 0.500 1

No. 4
# TiGaBi2 | Alexandria | PBEsol | relaxed
# **Crystal system**: tetragonal
# **Energy of formation from the pure elements**: 0.36 eV/atom
# **Total magnetic moment**: 0.170 μB per atom
data_TiGaBi2
_chemical_formula_sum 'Ti4 Ga4 Bi8'
_cell_length_a 6.438
_cell_length_b 6.438
_cell_length_c 12.537
_cell_angle_alpha 90.00
_cell_angle_beta 90.00
_cell_angle_gamma 90.00
_symmetry_space_group_name_H-M 'I -4 2 d'
_symmetry_Int_Tables_number 122
_symmetry_space_group_name_Hall 'I -4 2bw'
loop_
_atom_site_label
_atom_site_type_symbol
_atom_site_fract_x
_atom_site_fract_y
_atom_site_fract_z
_atom_site_occupancy
Ti1 Ti 0.000 0.000 0.000 1
Ga1 Ga 0.000 0.000 0.500 1
Bi1 Bi 0.244 0.250 0.125 1

No. 5
# Tc3NiMo | Alexandria | PBEsol | relaxed
# **Crystal system**: cubic
# **Energy of formation from the pure elements**: 2.07 eV/atom
# **Total magnetic moment**: 0.000 μB per atom
data_Tc3NiMo
_chemical_formula_sum 'Tc3 Ni1 Mo1'
_cell_length_a 4.512
_cell_length_b 4.512
_cell_length_c 4.512
_cell_angle_alpha 90.00
_cell_angle_beta 90.00
_cell_angle_gamma 90.00
_symmetry_space_group_name_H-M 'P m -3 m'
_symmetry_Int_Tables_number 221
_symmetry_space_group_name_Hall '-P 4 2 3'
loop_
_atom_site_label
_atom_site_type_symbol
_atom_site_fract_x
_atom_site_fract_y
_atom_site_fract_z
_atom_site_occupancy
Tc1 Tc 0.000 0.000 0.500 1
Ni1 Ni 0.500 0.500 0.500 1
Mo1 Mo 0.000 0.000 0.000 1

No. 6
# ScTcAgTe2 | Alexandria | PBEsol | relaxed
# **Energy relative to the elements, uncorrected**: 0.4752 eV per atom
# **Crystal system**: tetragonal
# **Total magnetic moment**: 0.000 μB per atom
data_ScTcAgTe2
_chemical_formula_sum 'Sc1 Tc1 Ag1 Te2'
_cell_length_a 5.080
_cell_length_b 5.080
_cell_length_c 4.955
_cell_angle_alpha 90.00
_cell_angle_beta 90.00
_cell_angle_gamma 90.00
_symmetry_space_group_name_H-M 'P 4/m m m'
_symmetry_Int_Tables_number 123
_symmetry_space_group_name_Hall '-P 4 2'
loop_
_atom_site_label
_atom_site_type_symbol
_atom_site_fract_x
_atom_site_fract_y
_atom_site_fract_z
_atom_site_occupancy
Sc1 Sc 0.000 0.000 0.000 1
Tc1 Tc 0.500 0.500 0.500 1
Ag1 Ag 0.500 0.500 0.000 1
Te1 Te 0.000 0.500 0.500 1

No. 7
# SiRu | Alexandria | PBEsol | relaxed
# **Energy relative to the elements, uncorrected**: -0.4783 eV per atom
# **Crystal system**: monoclinic
# **Total magnetic moment**: 0.000 μB per atom
data_SiRu
_chemical_formula_sum 'Si6 Ru6'
_cell_length_a 11.309
_cell_length_b 2.807
_cell_length_c 5.101
_cell_angle_alpha 90.00
_cell_angle_beta 107.15
_cell_angle_gamma 90.00
_symmetry_space_group_name_H-M 'C 1 2/m 1'
_symmetry_Int_Tables_number 12
_symmetry_space_group_name_Hall '-C 2y'
loop_
_atom_site_label
_atom_site_type_symbol
_atom_site_fract_x
_atom_site_fract_y
_atom_site_fract_z
_atom_site_occupancy
Si1 Si 0.000 0.000 0.000 1
Si2 Si 0.167 0.500 0.798 1
Ru1 Ru 0.000 0.000 0.500 1
Ru2 Ru 0.168 0.500 0.277 1

No. 8
# DyNi2P2 | Alexandria | PBEsol | relaxed
# **Crystal system**: tetragonal
# **Energy of formation from the pure elements**: -1.11 eV/atom
# **Total magnetic moment**: 0.000 μB per atom
data_DyNi2P2
_chemical_formula_sum 'Dy2 Ni4 P4'
_cell_length_a 3.824
_cell_length_b 3.824
_cell_length_c 9.267
_cell_angle_alpha 90.00
_cell_angle_beta 90.00
_cell_angle_gamma 90.00
_symmetry_space_group_name_H-M 'I 4/m m m'
_symmetry_Int_Tables_number 139
_symmetry_space_group_name_Hall '-I 4 2'
loop_
_atom_site_label
_atom_site_type_symbol
_atom_site_fract_x
_atom_site_fract_y
_atom_site_fract_z
_atom_site_occupancy
Dy1 Dy 0.000 0.000 0.000 1
Ni1 Ni 0.000 0.500 0.250 1
P1 P 0.000 0.000 0.377 1

No. 9
# KMoPClO5 | Alexandria | PBEsol | relaxed
# **Energy relative to the elements, uncorrected**: -2.0362 eV per atom
# **Crystal system**: tetragonal
# **Total magnetic moment**: 0.108 μB per atom
data_KMoPClO5
_chemical_formula_sum 'K2 Mo2 P2 Cl2 O10'
_cell_length_a 6.446
_cell_length_b 6.446
_cell_length_c 7.284
_cell_angle_alpha 90.00
_cell_angle_beta 90.00
_cell_angle_gamma 90.00
_symmetry_space_group_name_H-M 'P 4/n m m'
_symmetry_Int_Tables_number 129
loop_
_symmetry_equiv_pos_as_xyz
'x,y,z'
'-x,-y,-z'
'-y+1/2,x,z'
'y+1/2,-x,-z'
'-x+1/2,-y+1/2,z'
'x+1/2,y+1/2,-z'
'y,-x+1/2,z'
'-y,x+1/2,-z'
'x+1/2,-y,-z'
'-x+1/2,y,z'
'-y,-x,-z'
'y,x,z'
'-x,y+1/2,-z'
'x,-y+1/2,z'
'y+1/2,x+1/2,-z'
'-y+1/2,-x+1/2,z'
loop_
_atom_site_label
_atom_site_type_symbol
_atom_site_fract_x
_atom_site_fract_y
_atom_site_fract_z
_atom_site_occupancy
K1 K 0.250 0.750 0.000 1
Mo1 Mo 0.250 0.250 0.403 1
P1 P 0.250 0.750 0.500 1
Cl1 Cl 0.250 0.250 0.051 1
O1 O 0.061 0.750 0.631 1
O2 O 0.250 0.250 0.631 1

No. 10
# SrZrMn3 | Alexandria | PBEsol | relaxed
# **Crystal system**: cubic
# **Energy of formation from the pure elements**: 2.00 eV/atom
# **Total magnetic moment**: 1.877 μB per atom
data_SrZrMn3
_chemical_formula_sum 'Sr1 Zr1 Mn3'
_cell_length_a 4.739
_cell_length_b 4.739
_cell_length_c 4.739
_cell_angle_alpha 90.00
_cell_angle_beta 90.00
_cell_angle_gamma 90.00
_symmetry_space_group_name_H-M 'P m -3 m'
_symmetry_Int_Tables_number 221
_symmetry_space_group_name_Hall '-P 4 2 3'
loop_
_atom_site_label
_atom_site_type_symbol
_atom_site_fract_x
_atom_site_fract_y
_atom_site_fract_z
_atom_site_occupancy
Sr1 Sr 0.000 0.000 0.000 1
Zr1 Zr 0.500 0.500 0.500 1
Mn1 Mn 0.000 0.000 0.500 1

No. 11
# YCdOs | Alexandria | PBEsol | relaxed
# **Crystal system**: cubic
# **Energy of formation from the pure elements**: 0.95 eV/atom
# **Total magnetic moment**: 0.000 μB per atom
data_YCdOs
_chemical_formula_sum 'Y4 Cd4 Os4'
_cell_length_a 6.558
_cell_length_b 6.558
_cell_length_c 6.558
_cell_angle_alpha 90.00
_cell_angle_beta 90.00
_cell_angle_gamma 90.00
_symmetry_space_group_name_H-M 'F -4 3 m'
_symmetry_Int_Tables_number 216
_symmetry_space_group_name_Hall 'F -4 2 3'
loop_
_atom_site_label
_atom_site_type_symbol
_atom_site_fract_x
_atom_site_fract_y
_atom_site_fract_z
_atom_site_occupancy
Y1 Y 0.000 0.000 0.000 1
Cd1 Cd 0.250 0.250 0.750 1
Os1 Os 0.250 0.250 0.250 1

No. 12
# Pd | Alexandria | PBEsol | relaxed
# **Crystal system**: trigonal
# **Energy of formation from the pure elements**: 0.02 eV/atom
# **ΔE to the lowest computed polymorph**: 0.02 eV/f.u.
# **Total magnetic moment**: 0.271 μB per atom
data_Pd
_chemical_formula_sum 'Pd9'
_cell_length_a 2.7288
_cell_length_b 2.7288
_cell_length_c 20.2909
_cell_angle_alpha 90.00
_cell_angle_beta 90.00
_cell_angle_gamma 120.00
_symmetry_space_group_name_H-M 'R -3 m'
_symmetry_Int_Tables_number 166
_symmetry_space_group_name_Hall '-R 3 2"'
loop_
_atom_site_label
_atom_site_type_symbol
_atom_site_fract_x
_atom_site_fract_y
_atom_site_fract_z
_atom_site_occupancy
Pd1 Pd 0.0000 0.0000 0.0000 1
Pd2 Pd 0.0000 0.0000 0.2225 1